No. 1
## PaH8Ir2Pt (GGA-PBE)

Data for a relaxed PaH8Ir2Pt crystal.

Structure (CIF):
```
data_PaH8Ir2Pt
_chemical_formula_sum 'Pa2 H16 Ir4 Pt2'
_symmetry_space_group_name_H-M 'C 1 2/m 1'
_symmetry_Int_Tables_number 12
_cell_length_a 9.1353
_cell_length_b 4.1305
_cell_length_c 5.8957
_cell_angle_alpha 90.00
_cell_angle_beta 111.59
_cell_angle_gamma 90.00
loop_
_symmetry_equiv_pos_as_xyz
'x,y,z'
'-x,-y,-z'
'-x,y,-z'
'x,-y,z'
'x+1/2,y+1/2,z'
'-x+1/2,-y+1/2,-z'
'-x+1/2,y+1/2,-z'
'x+1/2,-y+1/2,z'
loop_
_atom_site_label
_atom_site_type_symbol
_atom_site_fract_x
_atom_site_fract_y
_atom_site_fract_z
_atom_site_occupancy
Pa1 Pa 0.0000 0.0000 0.0000 1
H1 H 0.1248 0.2473 0.7405 1
H2 H 0.1362 0.5000 0.0082 1
H3 H 0.1956 0.0000 0.3748 1
Ir1 Ir 0.2361 0.5000 0.3069 1
Pt1 Pt 0.0000 0.5000 0.5000 1
```

Values from the calculation:
E (eV/atom): -5.082
Fermi-level density of states (states/eV per atom): 0.302

***

No. 2
## PaHIrRh2 (GGA-PBE)

Data for a relaxed PaHIrRh2 crystal.

Structure (CIF):
```
data_PaHIrRh2
_chemical_formula_sum 'Pa1 H1 Ir1 Rh2'
_symmetry_space_group_name_H-M 'P 4/m m m'
_symmetry_Int_Tables_number 123
_symmetry_space_group_name_Hall '-P 4 2'
_cell_length_a 4.1265
_cell_length_b 4.1265
_cell_length_c 4.0884
_cell_angle_alpha 90.00
_cell_angle_beta 90.00
_cell_angle_gamma 90.00
loop_
_atom_site_label
_atom_site_type_symbol
_atom_site_fract_x
_atom_site_fract_y
_atom_site_fract_z
_atom_site_occupancy
Pa1 Pa 0.0000 0.0000 0.0000 1
H1 H 0.5000 0.5000 0.5000 1
Ir1 Ir 0.5000 0.5000 0.0000 1
Rh1 Rh 0.0000 0.5000 0.5000 1
```

Values from the calculation:
E (eV/atom): -7.963
Fermi-level density of states (states/eV per atom): 0.877

***

No. 3
## PaHIr2Rh (GGA-PBE)

Data for a relaxed PaHIr2Rh crystal.

Structure (CIF):
```
data_PaHIr2Rh
_chemical_formula_sum 'Pa1 H1 Ir2 Rh1'
_symmetry_space_group_name_H-M 'P 4/m m m'
_symmetry_Int_Tables_number 123
_symmetry_space_group_name_Hall '-P 4 2'
_cell_length_a 4.1116
_cell_length_b 4.1116
_cell_length_c 4.1584
_cell_angle_alpha 90.00
_cell_angle_beta 90.00
_cell_angle_gamma 90.00
loop_
_atom_site_label
_atom_site_type_symbol
_atom_site_fract_x
_atom_site_fract_y
_atom_site_fract_z
_atom_site_occupancy
Pa1 Pa 0.0000 0.0000 0.0000 1
H1 H 0.5000 0.5000 0.5000 1
Ir1 Ir 0.0000 0.5000 0.5000 1
Rh1 Rh 0.5000 0.5000 0.0000 1
```

Values from the calculation:
E (eV/atom): -8.203
Fermi-level density of states (states/eV per atom): 0.906

***

No. 4
## PaSiHIr (GGA-PBE)

Data for a relaxed PaSiHIr crystal.

Structure (CIF):
```
data_PaSiHIr
_chemical_formula_sum 'Pa1 Si1 H1 Ir1'
_symmetry_space_group_name_H-M 'P -6 m 2'
_symmetry_Int_Tables_number 187
_symmetry_space_group_name_Hall 'P -6 2'
_cell_length_a 4.2640
_cell_length_b 4.2640
_cell_length_c 3.7752
_cell_angle_alpha 90.00
_cell_angle_beta 90.00
_cell_angle_gamma 120.00
loop_
_atom_site_label
_atom_site_type_symbol
_atom_site_fract_x
_atom_site_fract_y
_atom_site_fract_z
_atom_site_occupancy
Pa1 Pa 0.0000 0.0000 0.0000 1
Si1 Si 0.3333 0.6667 0.5000 1
H1 H 0.6667 0.3333 0.0000 1
Ir1 Ir 0.6667 0.3333 0.5000 1
```

Values from the calculation:
E (eV/atom): -7.569
Fermi-level density of states (states/eV per atom): 0.399